# VSn2F11

A geometry-optimized VSn2F11 structure (GGA+U, Alexandria).

Cell: 8.021 8.021 8.021 Å, 122.30 106.34 100.63°
Fractional coordinates of all 28 atoms:
V 0.250 0.250 0.000
V 0.750 0.750 0.000
Sn 0.189 0.633 0.822
Sn 0.311 0.133 0.445
Sn 0.689 0.867 0.555
Sn 0.811 0.367 0.178
F 0.000 0.500 0.500
F 0.015 0.958 0.238
F 0.057 0.404 0.161
F 0.214 0.370 0.584
F 0.220 0.458 0.943
F 0.244 0.896 0.839
F 0.256 0.096 0.652
F 0.280 0.222 0.238
F 0.286 0.870 0.156
F 0.443 0.604 0.348
F 0.485 0.722 0.943
F 0.500 0.000 0.500
F 0.515 0.278 0.057
F 0.557 0.396 0.652
F 0.714 0.130 0.844
F 0.720 0.778 0.762
F 0.744 0.904 0.348
F 0.756 0.104 0.161
F 0.780 0.542 0.057
F 0.786 0.630 0.416
F 0.943 0.596 0.839
F 0.985 0.042 0.762

Summary:
* V: 13.62 A^3/atom
* calculated total energy: -139.28 eV per cell